[1]
# NbInCo2O6

A geometry-optimized NbInCo2O6 structure (PBE+U, Alexandria).

Output
- Total moment: 6.0 μB per formula unit
- Space-group type: No. 146
- Electronic total energy: -69.6 eV/f.u.

Cell and atoms, written as CIF:
```
data_NbInCo2O6
_chemical_formula_sum 'Nb1 In1 Co2 O6'
_cell_length_a 5.323
_cell_length_b 5.325
_cell_length_c 5.686
_cell_angle_alpha 62.09
_cell_angle_beta 62.08
_cell_angle_gamma 59.98
_space_group_name_H-M_alt 'P 1'
_space_group_IT_number 1
loop_
_space_group_symop_operation_xyz
'x,y,z'
loop_
_atom_site_label
_atom_site_fract_x
_atom_site_fract_y
_atom_site_fract_z
_atom_site_occupancy
Nb1 0.312 0.312 0.064 1
In1 0.810 0.810 0.570 1
Co1 0.520 0.520 0.440 1
Co2 0.028 0.028 0.917 1
O1 0.590 0.227 0.248 1
O2 0.227 0.935 0.248 1
O3 0.935 0.590 0.248 1
O4 0.409 0.706 0.760 1
O5 0.706 0.125 0.760 1
O6 0.125 0.409 0.760 1
```

=====

[2]
# NaV10O15

A geometry-optimized NaV10O15 structure (PBE+U, Alexandria).

Output
- Total moment: 21.0 μB per formula unit
- Space-group type: No. 64
- Electronic total energy: -201.8 eV/f.u.

Cell and atoms, written as CIF:
```
data_NaV10O15
_chemical_formula_sum 'Na2 V20 O30'
_cell_length_a 7.849
_cell_length_b 7.849
_cell_length_c 9.705
_cell_angle_alpha 90.00
_cell_angle_beta 90.00
_cell_angle_gamma 96.67
_space_group_name_H-M_alt 'P 1'
_space_group_IT_number 1
loop_
_space_group_symop_operation_xyz
'x,y,z'
loop_
_atom_site_label
_atom_site_fract_x
_atom_site_fract_y
_atom_site_fract_z
_atom_site_occupancy
Na1 0.000 0.000 0.000 1
Na2 0.500 0.500 0.500 1
V1 0.181 0.181 0.371 1
V2 0.319 0.319 0.871 1
V3 0.601 0.080 0.885 1
V4 0.580 0.101 0.615 1
V5 0.101 0.580 0.615 1
V6 0.080 0.601 0.885 1
V7 0.539 0.288 0.147 1
V8 0.788 0.039 0.353 1
V9 0.039 0.788 0.353 1
V10 0.288 0.539 0.147 1
V11 0.461 0.712 0.853 1
V12 0.961 0.212 0.647 1
V13 0.212 0.961 0.647 1
V14 0.712 0.461 0.853 1
V15 0.920 0.399 0.115 1
V16 0.399 0.920 0.115 1
V17 0.420 0.899 0.385 1
V18 0.899 0.420 0.385 1
V19 0.681 0.681 0.129 1
V20 0.819 0.819 0.629 1
O1 0.154 0.154 0.758 1
O2 0.394 0.140 0.005 1
O3 0.140 0.394 0.005 1
O4 0.360 0.106 0.505 1
O5 0.106 0.360 0.505 1
O6 0.065 0.565 0.250 1
O7 0.565 0.065 0.250 1
O8 0.346 0.346 0.258 1
O9 0.784 0.038 0.737 1
O10 0.538 0.284 0.763 1
O11 0.284 0.538 0.763 1
O12 0.038 0.784 0.737 1
O13 0.743 0.257 0.000 1
O14 0.257 0.743 0.000 1
O15 0.000 0.000 0.500 1
O16 0.500 0.500 0.000 1
O17 0.243 0.757 0.500 1
O18 0.757 0.243 0.500 1
O19 0.216 0.962 0.263 1
O20 0.462 0.716 0.237 1
O21 0.716 0.462 0.237 1
O22 0.962 0.216 0.263 1
O23 0.654 0.654 0.742 1
O24 0.935 0.435 0.750 1
O25 0.435 0.935 0.750 1
O26 0.640 0.894 0.495 1
O27 0.894 0.640 0.495 1
O28 0.606 0.860 0.995 1
O29 0.860 0.606 0.995 1
O30 0.846 0.846 0.242 1
```